Density functional theory data (PBE-GGA) for crystalline As2PtW at its relaxed geometry.

a b c (Å): 2.8943 2.8943 30.8346
angles (deg): 90.00 90.00 120.00
Space group R3m (No. 160, hexagonal axes)
Inequivalent atoms, fractional coordinates:
As1 0.0000 0.0000 0.0000 x3
As2 0.0000 0.0000 0.2135 x3
Pt1 0.0000 0.0000 0.7379 x3
W1 0.0000 0.0000 0.4769 x3

Summary:
total energy = -27.7 eV per formula unit
M_tot = 0.0 μB/cell
excess energy over the best structure of this formula in the dataset = 0.1066 eV/atom
formation energy = 147 meV per atom
Fermi-level density of states = 3.7 states/eV/f.u.

=====

Density functional theory data (PBE-GGA) for crystalline Si2TeO at its relaxed geometry.

a b c (Å): 4.762 4.762 13.099
angles (deg): 90.00 90.00 90.00
Space group I-42d (No. 122)
Inequivalent atoms, fractional coordinates:
Si1 0.089 0.250 0.125 x8
Te1 0.000 0.000 0.500 x4
O1 0.000 0.000 0.000 x4

Summary:
total energy = -19.5 eV per formula unit
M_tot = 0.0 μB/cell
excess energy over the best structure of this formula in the dataset = 0.0000 eV/atom
formation energy without anion corrections = -0.1374 eV/atom
Fermi-level density of states = 1.1 states/eV/f.u.

=====

Density functional theory data (PBE-GGA) for crystalline Ho6Ir2C at its relaxed geometry.

a b c (Å): 6.479 7.145 11.151
angles (deg): 90.00 124.07 90.00
Space group P2_1/c (No. 14)
Inequivalent atoms, fractional coordinates:
Ho1 0.127 0.042 0.246 x4
Ho2 0.230 0.697 0.060 x4
Ho3 0.368 0.170 0.058 x4
Ir1 0.288 0.098 0.753 x4
C1 0.000 0.000 0.000 x2

Summary:
total energy = -59.7 eV per formula unit
M_tot = 0.0 μB/cell
formation energy = -588 meV per atom
Fermi-level density of states = 6.3 states/eV/f.u.

=====

Density functional theory data (PBE-GGA) for crystalline Mn2AgPb at its relaxed geometry.

a b c (Å): 9.361 3.169 5.325
angles (deg): 90.00 101.85 90.00
Space group C2/m (No. 12)
Inequivalent atoms, fractional coordinates:
Mn1 0.246 0.000 0.225 x4
Ag1 0.000 0.500 0.000 x2
Pb1 0.000 0.000 0.500 x2

Summary:
total energy = -23.0 eV per formula unit
M_tot = 15.5 μB/cell
formation energy = 469 meV per atom
Fermi-level density of states = 3.1 states/eV/f.u.

=====

Which value of total energy does entry 2 give?
-19.5 eV per formula unit

=====

Which formula does entry 2 have?
Si2TeO